[1]
# Tb6Sm19Er4, optimized geometry, DFT GGA-PBE
data_Tb6Sm19Er4
_symmetry_space_group_name_H-M 'P 1'
_symmetry_Int_Tables_number 1
_symmetry_space_group_name_Hall 'P 1'
_cell_length_a 10.881
_cell_length_b 10.881
_cell_length_c 10.881
_cell_angle_alpha 109.47
_cell_angle_beta 109.47
_cell_angle_gamma 109.47
loop_
_atom_site_label
_atom_site_fract_x
_atom_site_fract_y
_atom_site_fract_z
Tb1 0.125 0.625 0.500
Tb2 0.375 0.500 0.875
Tb3 0.500 0.125 0.625
Tb4 0.500 0.875 0.375
Tb5 0.625 0.500 0.125
Tb6 0.875 0.375 0.500
Sm1 0.000 0.000 0.000
Sm2 0.000 0.259 0.259
Sm3 0.000 0.741 0.741
Sm4 0.020 0.802 0.344
Sm5 0.198 0.219 0.542
Sm6 0.219 0.542 0.198
Sm7 0.259 0.000 0.259
Sm8 0.259 0.259 0.000
Sm9 0.323 0.781 0.980
Sm10 0.344 0.020 0.802
Sm11 0.458 0.677 0.656
Sm12 0.542 0.198 0.219
Sm13 0.656 0.458 0.677
Sm14 0.677 0.656 0.458
Sm15 0.741 0.000 0.741
Sm16 0.741 0.741 0.000
Sm17 0.781 0.980 0.323
Sm18 0.802 0.344 0.020
Sm19 0.980 0.323 0.781
Er1 0.000 0.000 0.640
Er2 0.000 0.640 0.000
Er3 0.360 0.360 0.360
Er4 0.640 0.000 0.000
# Space-group type: I23
# DFT formation energy, eV per atom: 0.365

[2]
# LiSi2Cl, optimized geometry, DFT GGA-PBE
data_LiSi2Cl
_symmetry_space_group_name_H-M 'P 1'
_symmetry_Int_Tables_number 1
_symmetry_space_group_name_Hall 'P 1'
_cell_length_a 9.232
_cell_length_b 9.232
_cell_length_c 9.232
_cell_angle_alpha 158.68
_cell_angle_beta 158.68
_cell_angle_gamma 30.33
loop_
_atom_site_label
_atom_site_fract_x
_atom_site_fract_y
_atom_site_fract_z
Li1 0.000 0.000 0.000
Si1 0.250 0.750 0.500
Si2 0.750 0.250 0.500
Cl1 0.500 0.500 0.000
# Space-group type: I4/mmm
# E above lowest polymorph, eV/atom: 0.2695
# ΔE_f (raw), eV/atom: -0.403

[3]
# CsNaZrAs2, optimized geometry, DFT GGA-PBE
data_CsNaZrAs2
_symmetry_space_group_name_H-M 'P 1'
_symmetry_Int_Tables_number 1
_symmetry_space_group_name_Hall 'P 1'
_cell_length_a 5.319
_cell_length_b 5.319
_cell_length_c 6.146
_cell_angle_alpha 90.00
_cell_angle_beta 90.00
_cell_angle_gamma 90.00
loop_
_atom_site_label
_atom_site_fract_x
_atom_site_fract_y
_atom_site_fract_z
Cs1 0.000 0.000 0.000
Na1 0.500 0.500 0.000
Zr1 0.000 0.000 0.500
As1 0.000 0.500 0.500
As2 0.500 0.000 0.500
# Space-group type: P4/mmm
# DFT formation energy, eV per atom: 0.082

[4]
# LiCuP3O9, optimized geometry, DFT GGA-PBE
data_LiCuP3O9
_symmetry_space_group_name_H-M 'P 1'
_symmetry_Int_Tables_number 1
_symmetry_space_group_name_Hall 'P 1'
_cell_length_a 5.800
_cell_length_b 10.390
_cell_length_c 11.491
_cell_angle_alpha 90.00
_cell_angle_beta 90.00
_cell_angle_gamma 90.00
loop_
_atom_site_label
_atom_site_fract_x
_atom_site_fract_y
_atom_site_fract_z
Li1 0.070 0.119 0.450
Li2 0.430 0.881 0.950
Li3 0.570 0.381 0.550
Li4 0.930 0.619 0.050
Cu1 0.108 0.960 0.142
Cu2 0.392 0.040 0.642
Cu3 0.608 0.540 0.858
Cu4 0.892 0.460 0.358
P1 0.049 0.714 0.806
P2 0.153 0.085 0.882
P3 0.177 0.365 0.881
P4 0.323 0.635 0.381
P5 0.347 0.915 0.382
P6 0.451 0.286 0.306
P7 0.549 0.786 0.194
P8 0.653 0.415 0.118
P9 0.677 0.135 0.119
P10 0.823 0.865 0.619
P11 0.847 0.585 0.618
P12 0.951 0.214 0.694
O1 0.005 0.341 0.771
O2 0.065 0.606 0.703
O3 0.069 0.459 0.961
O4 0.084 0.611 0.333
O5 0.094 0.983 0.971
O6 0.137 0.950 0.310
O7 0.161 0.183 0.619
O8 0.179 0.223 0.942
O9 0.223 0.271 0.364
O10 0.277 0.729 0.864
O11 0.321 0.777 0.442
O12 0.339 0.817 0.119
O13 0.363 0.050 0.810
O14 0.406 0.017 0.471
O15 0.416 0.389 0.833
O16 0.431 0.541 0.461
O17 0.435 0.394 0.203
O18 0.495 0.659 0.271
O19 0.505 0.159 0.229
O20 0.565 0.894 0.297
O21 0.569 0.041 0.039
O22 0.584 0.889 0.667
O23 0.594 0.517 0.029
O24 0.637 0.550 0.690
O25 0.661 0.317 0.381
O26 0.679 0.277 0.058
O27 0.723 0.229 0.636
O28 0.777 0.771 0.136
O29 0.821 0.723 0.558
O30 0.839 0.683 0.881
O31 0.863 0.450 0.190
O32 0.906 0.483 0.529
O33 0.916 0.111 0.167
O34 0.931 0.959 0.539
O35 0.935 0.106 0.797
O36 0.995 0.841 0.729
# Space-group type: P2_12_12_1
# E above lowest polymorph, eV/atom: 0.0404
# ΔE_f (raw), eV/atom: -1.908

[5]
# SbOsF2, optimized geometry, DFT GGA-PBE
data_SbOsF2
_symmetry_space_group_name_H-M 'P 1'
_symmetry_Int_Tables_number 1
_symmetry_space_group_name_Hall 'P 1'
_cell_length_a 9.436
_cell_length_b 9.436
_cell_length_c 9.436
_cell_angle_alpha 17.56
_cell_angle_beta 17.56
_cell_angle_gamma 17.56
loop_
_atom_site_label
_atom_site_fract_x
_atom_site_fract_y
_atom_site_fract_z
Sb1 0.000 0.000 0.000
Os1 0.500 0.500 0.500
F1 0.431 0.431 0.431
F2 0.569 0.569 0.569
# Space-group type: R-3m
# E above lowest polymorph, eV/atom: 0.0000
# ΔE_f (raw), eV/atom: -0.560

[6]
# Pm3Sm2Mg, optimized geometry, DFT GGA-PBE
data_Pm3Sm2Mg
_symmetry_space_group_name_H-M 'P 1'
_symmetry_Int_Tables_number 1
_symmetry_space_group_name_Hall 'P 1'
_cell_length_a 10.221
_cell_length_b 10.221
_cell_length_c 10.221
_cell_angle_alpha 160.90
_cell_angle_beta 144.39
_cell_angle_gamma 40.72
loop_
_atom_site_label
_atom_site_fract_x
_atom_site_fract_y
_atom_site_fract_z
Pm1 0.000 0.000 0.000
Pm2 0.332 0.832 0.500
Pm3 0.668 0.168 0.500
Sm1 0.157 0.657 0.500
Sm2 0.843 0.343 0.500
Mg1 0.500 0.000 0.500
# Space-group type: Immm
# E above lowest polymorph, eV/atom: 0.3409
# DFT formation energy, eV per atom: 0.348

It is found that the V values, taken in the order of the records, are 992, 104, 174, 692, 67, 203 Å³ per cell.